[1]
A geometry-optimized YTi2S4 structure, computed with PBE.

The density of states at the Fermi level is 0.68 states/eV/atom. Its excess energy over the best structure of this formula in the dataset is 182 meV per atom. The value obtained for the formation energy from raw total energies is -9.8 eV/f.u.

It has space group I4_1/amd (No. 141, origin choice 2), with a = 7.5670 Å, b = 7.5670 Å, c = 10.7784 Å, α = 90.00°, β = 90.00° and γ = 90.00°. The asymmetric unit holds Y at (0.0000, 0.2500, 0.3750), Ti at (0.0000, 0.0000, 0.0000) and S at (0.0000, 0.0269, 0.7649).

=====

[2]
A geometry-optimized YTiS3 structure, computed with PBE.

The density of states at the Fermi level is 0.41 states/eV/atom. The value obtained for the formation energy from raw total energies is -6.3 eV/f.u.

It has space group Pm-3m (No. 221), with a = 4.6678 Å, b = 4.6678 Å, c = 4.6678 Å, α = 90.00°, β = 90.00° and γ = 90.00°. The asymmetric unit holds Y at (0.0000, 0.0000, 0.0000), Ti at (0.5000, 0.5000, 0.5000) and S at (0.0000, 0.5000, 0.5000).

=====

[3]
A geometry-optimized Y2TiS4 structure, computed with PBE.

The density of states at the Fermi level is 0.45 states/eV/atom. The value obtained for the formation energy from raw total energies is -12.3 eV/f.u.

It has space group C2/m (No. 12), with a = 13.4488 Å, b = 3.8190 Å, c = 6.9159 Å, α = 90.00°, β = 119.61° and γ = 90.00°. The asymmetric unit holds Y at (0.2262, 0.0000, 0.2167), Ti at (0.0000, 0.5000, 0.5000), S at (0.1107, 0.5000, 0.9124) and S at (0.1262, 0.0000, 0.4889).